Record 1
A geometry-optimized TaTi5N6 structure. Source: Alexandria, functional GGA-PBE.

Output
- DFT total energy (eV per atom) = -10.04
- formation energy without anion corrections (meV/atom) = -1604

Unit cell a=5.244 b=9.098 c=5.251 alpha=90.00 beta=109.58 gamma=90.00
Space group C2/m (No. 12)
Unique sites:
Ta: 0.000 0.000 0.000
Ti: 0.000 0.169 0.500
Ti: 0.000 0.334 0.000
Ti: 0.000 0.500 0.500
N: 0.248 0.332 0.749
N: 0.248 0.500 0.253

***

Record 2
A geometry-optimized Hf4FeCo2 structure. Source: Alexandria, functional GGA-PBE.

Output
- DFT total energy (eV per atom) = -9.20

Unit cell a=7.656 b=4.419 c=7.563 alpha=90.00 beta=109.81 gamma=90.00
Space group C2/m (No. 12)
Unique sites:
Hf: 0.123 0.000 0.368
Hf: 0.127 0.500 0.880
Fe: 0.000 0.500 0.500
Co: 0.248 0.000 0.744